Here is a geometry-optimized Co2AgBi structure from Alexandria. Energies are from GGA-PBE.

Computed properties:
total magnetization = 3.26 μB per formula unit
energy relative to the elements = 0.711 eV per atom
total DFT energy (no corrections) = -72.40 eV per cell
crystal system = tetragonal
N(E_F) = 12.34 states/eV/cell

Cell lengths 4.067, 4.067, 18.573 Å; angles 90.00, 90.00, 90.00 degrees
Space group I-42d (No. 122)
Asymmetric unit:
Co 0.153 0.250 0.125
Ag 0.000 0.000 0.000
Bi 0.000 0.000 0.500